Record 1
DFT (PBE) results for a relaxed Tb4Sm2Tl crystal.

```
Tb4Sm2Tl
1.0
-0.689 -3.076 1.647
4.926 -10.207 -17.004
11.592 -0.605 3.721
Tb Sm Tl
16 8 4
Direct
0.250 0.001 0.623
0.250 0.501 0.877
0.250 0.095 0.183
0.750 0.238 0.270
0.750 0.499 0.123
0.750 0.738 0.230
0.250 0.262 0.770
0.750 0.905 0.817
0.250 0.804 0.004
0.250 0.595 0.317
0.250 0.304 0.496
0.250 0.762 0.730
0.750 0.405 0.683
0.750 0.196 0.996
0.750 0.999 0.377
0.750 0.696 0.504
0.250 0.552 0.598
0.250 0.641 0.030
0.750 0.448 0.402
0.750 0.948 0.098
0.250 0.052 0.902
0.750 0.859 0.530
0.250 0.141 0.470
0.750 0.359 0.970
0.250 0.367 0.209
0.750 0.133 0.709
0.750 0.633 0.791
0.250 0.867 0.291
```

Computed properties:
- ΔH_f (0 K) (kJ/mol of formula units) = -35
- Fermi-level density of states (states/eV per atom) = 1.144

Record 2
DFT (PBE) results for a relaxed Dy3Zr crystal.

```
Dy3Zr
1.0
-3.214 1.219 0.627
0.397 -1.917 5.768
3.533 5.199 -1.732
Dy Zr
3 1
Direct
0.500 0.492 0.000
0.258 0.593 0.516
0.742 0.078 0.484
0.000 0.004 0.000
```

Computed properties:
- ΔH_f (0 K) (kJ/mol of formula units) = 31
- Fermi-level density of states (states/eV per atom) = 1.889

Record 3
DFT (PBE) results for a relaxed Ac3HAu crystal.

```
Ac3HAu
1.0
-1.844 -4.678 -1.616
4.767 -2.142 0.760
-1.329 -1.193 4.970
Ac Au H
3 1 1
Direct
0.000 0.500 0.000
0.500 0.000 0.000
0.000 0.000 0.500
0.500 0.500 0.500
0.000 0.000 0.000
```

Computed properties:
- calculated total energy (eV/atom) = -3.98
- Fermi-level density of states (states/eV per atom) = 1.499